The following is a DFT calculation (PBE with a Hubbard U) of Na2LaNi3F12 after structural relaxation. Values from VASP.

Geometry as Quantum ESPRESSO input:
```
&SYSTEM
  ibrav = 0, nat = 18, ntyp = 4
/
ATOMIC_SPECIES
Na 22.99 Na.upf
La 138.91 La.upf
Ni 58.69 Ni.upf
F 19.00 F.upf
ATOMIC_POSITIONS crystal
Na 0.1353 0.1353 0.1353
Na 0.8647 0.8647 0.8647
La 0.5000 0.5000 0.5000
Ni 0.0000 0.5000 0.5000
Ni 0.5000 0.0000 0.5000
Ni 0.5000 0.5000 0.0000
F 0.0789 0.6422 0.6422
F 0.2380 0.2380 0.6115
F 0.2380 0.6115 0.2380
F 0.3578 0.3578 0.9211
F 0.3578 0.9211 0.3578
F 0.3885 0.7620 0.7620
F 0.6115 0.2380 0.2380
F 0.6422 0.0789 0.6422
F 0.6422 0.6422 0.0789
F 0.7620 0.3885 0.7620
F 0.7620 0.7620 0.3885
F 0.9211 0.3578 0.3578
CELL_PARAMETERS angstrom
3.7071 2.1403 5.3149
-3.7071 2.1403 5.3149
0.0000 -4.2805 5.3149
```

Calculated values
calculated total energy	-4.696	eV/atom
space group	R-3m